Record 1
Below is crystalline CrMo3 at its relaxed geometry, with properties calculated at the GGA-PBE level.

Cell: 3.1001 3.1001 6.1967 Å, 90.00 90.00 90.00°
With the nearest neighbours (Å) after each atom.
Space group P4/mmm (No. 123)
Unique sites:
Cr  0.0000  0.0000  0.0000  8 Mo 2.65
Mo  0.0000  0.0000  0.5000  8 Mo 2.72
Mo  0.5000  0.5000  0.2407  4 Cr 2.65, 4 Mo 2.72

***

Record 2
Below is crystalline Ca2H2Rh at its relaxed geometry, with properties calculated at the GGA-PBE level.

Properties
Relative energy among the computed polymorphs (meV per atom): 288

Cell: 6.7831 6.7831 3.2049 Å, 90.00 90.00 90.00°
With the nearest neighbours (Å) after each atom.
Space group P4/mbm (No. 127)
Unique sites:
Ca  0.1798  0.3202  0.0000  6 H 2.42-2.67
H  0.1309  0.6309  0.5000  6 Ca 2.42-2.67, 1 H 2.51, 2 Rh 2.66
Rh  0.0000  0.0000  0.5000  4 H 2.66, 8 Ca 2.96

***

Record 3
Below is crystalline Tb5SmDy4 at its relaxed geometry, with properties calculated at the GGA-PBE level.

Cell: 10.2050 10.2050 6.2746 Å, 90.00 90.00 90.00°
With the nearest neighbours (Å) after each atom.
Space group I4 (No. 79)
Unique sites:
Tb  0.0000  0.0000  0.0000  1 Sm 2.87
Tb  0.1474  0.2319  0.7288  4 Dy 3.22-3.51, 1 Tb 3.28, 1 Sm 3.28
Sm  0.0000  0.0000  0.4573  1 Tb 2.87
Dy  0.0476  0.3475  0.2269  4 Tb 3.22-3.51, 1 Dy 3.26

***

Record 4
Below is crystalline CsScCu2I8 at its relaxed geometry, with properties calculated at the GGA-PBE level.

Properties
Formation energy without anion corrections (meV/atom): -680

Cell: 11.9186 8.1558 10.9070 Å, 90.00 112.34 90.00°
With the nearest neighbours (Å) after each atom.
Space group C2/m (No. 12)
Unique sites:
Cs  0.0000  0.0000  0.0000  8 I 4.10-4.35
Sc  0.0000  0.0000  0.5000  6 I 2.88-2.94
Cu  0.0750  0.5000  0.3108  4 I 2.54-2.67
I  0.0738  0.2467  0.7119  1 Cu 2.67, 1 Sc 2.94
I  0.1268  0.5000  0.1028  1 Cu 2.57
I  0.2339  0.0000  0.4796  1 Cu 2.54

***

Record 5
Below is crystalline HfV2Pd at its relaxed geometry, with properties calculated at the GGA-PBE level.

Properties
Relative energy among the computed polymorphs (meV per atom): 0

Cell: 6.3037 6.3037 6.3037 Å, 90.00 90.00 90.00°
With the nearest neighbours (Å) after each atom.
Space group Fm-3m (No. 225)
Unique sites:
Hf  0.0000  0.0000  0.0000  8 V 2.73
V  0.2500  0.2500  0.2500  4 Hf 2.73, 4 Pd 2.73
Pd  0.0000  0.0000  0.5000  8 V 2.73

***

Record 6
Below is crystalline Ti2AsWN at its relaxed geometry, with properties calculated at the GGA-PBE level.

Properties
Formation energy without anion corrections (meV/atom): 1206

Cell: 4.8078 4.8078 3.6834 Å, 90.00 90.00 90.00°
With the nearest neighbours (Å) after each atom.
Space group P4/mmm (No. 123)
Unique sites:
Ti  0.0000  0.5000  0.0000  2 As 2.40
As  0.0000  0.0000  0.0000  2 N 1.84
W  0.5000  0.5000  0.5000  8 Ti 3.03
N  0.0000  0.0000  0.5000  2 As 1.84

***

Record 7
Below is crystalline Er4MgZn2Os at its relaxed geometry, with properties calculated at the GGA-PBE level.

Cell: 5.0036 5.0036 24.6565 Å, 90.00 90.00 120.00°
With the nearest neighbours (Å) after each atom.
Space group R-3m (No. 166, hexagonal axes)
Unique sites:
Er  0.0000  0.0000  0.1142  1 Os 2.82, 4 Zn 2.94-3.11
Er  0.0000  0.0000  0.3669  3 Os 3.01, 4 Zn 3.12-3.24, 1 Mg 3.28, 3 Er 3.33
Mg  0.0000  0.0000  0.5000  8 Er 3.17-3.28, 6 Zn 3.41
Zn  0.0000  0.0000  0.2403  8 Er 2.94-3.24
Os  0.0000  0.0000  0.0000  8 Er 2.82-3.01

***

Record 8
Below is crystalline SrV2Ag at its relaxed geometry, with properties calculated at the GGA-PBE level.

Properties
Relative energy among the computed polymorphs (meV per atom): 0

Cell: 4.3243 4.3243 20.7893 Å, 90.00 90.00 90.00°
With the nearest neighbours (Å) after each atom.
Space group I-42d (No. 122)
Unique sites:
Sr  0.0000  0.0000  0.0000  4 Ag 3.06
V  0.0188  0.2500  0.6250  2 V 2.17
Ag  0.0000  0.0000  0.5000  4 V 2.82, 4 Sr 3.06

***

Record 9
Below is crystalline Al2In2Ga at its relaxed geometry, with properties calculated at the GGA-PBE level.

Properties
Relative energy among the computed polymorphs (meV per atom): 0

Cell: 6.9370 6.9370 4.6376 Å, 90.00 90.00 90.00°
With the nearest neighbours (Å) after each atom.
Space group P4/mbm (No. 127)
Unique sites:
Al  0.1363  0.3637  0.0000  1 Al 2.67, 2 Ga 2.69, 2 In 2.96
In  0.1764  0.6764  0.5000  6 Al 2.96-3.19
Ga  0.0000  0.0000  0.0000  4 Al 2.69

***

Record 10
Below is crystalline Np5AsSe4 at its relaxed geometry, with properties calculated at the GGA-PBE level.

Properties
Formation energy without anion corrections (meV/atom): -997

Cell: 9.1905 9.1905 5.8082 Å, 90.00 90.00 90.00°
With the nearest neighbours (Å) after each atom.
Space group I4/m (No. 87)
Unique sites:
Np  0.0000  0.0000  0.0000  2 As 2.90, 4 Se 2.91
Np  0.0997  0.7017  0.5000  1 As 2.89, 5 Se 2.90-2.92
As  0.0000  0.0000  0.5000  6 Np 2.89-2.90
Se  0.0996  0.6995  0.0000  6 Np 2.90-2.92

***

| no. | density of states at the Fermi level (states/eV/cell) | energy (eV/cell) |
| --- | --- | --- |
| 1 | 3.5 | -41.9 |
| 2 | 4.3 | -38.4 |
| 3 | 29.4 | -86.6 |
| 4 | 6.4 | -71.9 |
| 5 | 22.3 | -132.1 |
| 6 | 7.3 | -35.7 |
| 7 | 16.2 | -108.1 |
| 8 | 23.5 | -77.2 |
| 9 | 5.4 | -30.7 |
| 10 | 80.8 | -186.5 |